DFT (GGA+U) results for a geometry-optimized MgCr2O4 structure.

```
MgCr2O4
1.0
7.230 -1.489 0.000
7.230 1.489 0.000
-5.919 0.000 7.222
Mg Cr O
2 4 8
direct
0.181 0.181 0.170
0.819 0.819 0.830
0.134 0.134 0.818
0.358 0.358 0.532
0.642 0.642 0.468
0.866 0.866 0.182
0.038 0.038 0.309
0.276 0.276 0.643
0.331 0.331 0.993
0.366 0.366 0.320
0.634 0.634 0.680
0.669 0.669 0.007
0.724 0.724 0.357
0.962 0.962 0.691
```

Computed properties:
Space-group type = C2/m
E = -101.7 eV per cell